# GdErMgCu, optimized geometry, DFT PBE
# Total energy ... -6.15 eV per atom
# ΔH_f (0 K) ... -65 meV/atom
# Spin magnetization ... 29.76 μB/cell
data_GdErMgCu
_chemical_formula_sum 'Gd4 Er4 Mg4 Cu4'
_cell_length_a 7.255
_cell_length_b 7.255
_cell_length_c 7.255
_cell_angle_alpha 90.00
_cell_angle_beta 90.00
_cell_angle_gamma 90.00
_symmetry_space_group_name_H-M 'F -4 3 m'
_symmetry_Int_Tables_number 216
_symmetry_space_group_name_Hall 'F -4 2 3'
loop_
_atom_site_label
_atom_site_type_symbol
_atom_site_fract_x
_atom_site_fract_y
_atom_site_fract_z
Gd1 Gd 0.000 0.000 0.000
Er1 Er 0.000 0.000 0.500
Mg1 Mg 0.250 0.250 0.750
Cu1 Cu 0.250 0.250 0.250